! Na3CoPCO7 (PBE+U, optimized geometry); values from VASP
&SYSTEM
  ibrav = 0, nat = 26, ntyp = 5
/
ATOMIC_SPECIES
O 16.00 O.upf
Na 22.99 Na.upf
Co 58.93 Co.upf
P 30.97 P.upf
C 12.01 C.upf
ATOMIC_POSITIONS crystal
O 0.655 0.750 0.066
O 0.014 0.750 0.356
O 0.555 0.250 0.629
O 0.787 0.250 0.418
O 0.089 0.750 0.944
Na 0.268 0.250 0.419
O 0.213 0.750 0.582
Co 0.282 0.750 0.145
P 0.792 0.750 0.915
Na 0.750 0.496 0.234
O 0.345 0.250 0.934
Co 0.718 0.250 0.855
O 0.719 0.936 0.818
Na 0.250 0.996 0.766
Na 0.750 0.004 0.234
C 0.777 0.250 0.562
O 0.986 0.250 0.644
O 0.281 0.436 0.182
O 0.719 0.564 0.818
O 0.281 0.064 0.182
Na 0.250 0.504 0.766
Na 0.732 0.750 0.581
O 0.911 0.250 0.056
O 0.445 0.750 0.371
P 0.208 0.250 0.085
C 0.223 0.750 0.438
CELL_PARAMETERS angstrom
-0.674 -3.662 -3.650
-0.356 -4.681 4.762
-8.855 1.263 0.578
! VASP energy   -6.36 eV per atom